[1]
Computed, not measured: Hg2SbPb6 after structural relaxation at the PBE level of DFT.

Cell: 4.004 9.536 8.637 Å, 123.51 90.00 90.00°
Sites, in units of the cell vectors:
Hg 0.000 0.313 0.639
Hg 0.000 0.675 0.361
Sb 0.500 0.035 0.000
Pb 0.000 0.719 0.756
Pb 0.500 0.604 0.000
Pb 0.000 0.963 0.244
Pb 0.500 0.396 0.398
Pb 0.500 0.998 0.602
Pb 0.000 0.299 0.000

Summary:
The density of states at the Fermi level is 4.8 states/eV/cell. As for the symmetry: No. 38. The formation energy without anion corrections is 0.0568 eV per atom. Its volume is 275.0 Å³/cell.

=====

[2]
Computed, not measured: HgSbPb2 after structural relaxation at the PBE level of DFT.

Cell: 4.082 4.082 7.135 Å, 90.00 90.00 90.00°
Sites, in units of the cell vectors:
Pb 0.500 0.500 0.290
Pb 0.000 0.000 0.957
Sb 0.000 0.000 0.502
Hg 0.500 0.500 0.751

Summary:
The density of states at the Fermi level is 1.3 states/eV/cell. As for the symmetry: No. 99. The formation energy without anion corrections is 0.0537 eV per atom. Its volume is 118.9 Å³/cell.

=====

Question: What is the formula in the second record?
Answer: HgSbPb2